1.
Material: DyErGaNi2
Method: DFT, PBE
State: relaxed

## Properties
- Volume: 18.82 A^3/atom
- Symmetry: Amm2
- Total energy: -5.24 eV/atom

Cell and atoms, written as CIF:
```
data_DyErGaNi2
_chemical_formula_sum 'Dy1 Er1 Ga1 Ni2'
_cell_length_a 3.603
_cell_length_b 7.012
_cell_length_c 7.012
_cell_angle_alpha 32.09
_cell_angle_beta 90.00
_cell_angle_gamma 90.00
_space_group_name_H-M_alt 'P 1'
_space_group_IT_number 1
loop_
_space_group_symop_operation_xyz
'x,y,z'
loop_
_atom_site_label
_atom_site_fract_x
_atom_site_fract_y
_atom_site_fract_z
Ga1 0.500 0.999 0.999
Er1 0.000 0.368 0.368
Ni1 0.500 0.196 0.196
Ni2 0.500 0.806 0.806
Dy1 0.000 0.631 0.631
```


2.
Material: Dy2ErGa3Si2Ni
Method: DFT, PBE
State: relaxed

## Properties
- Volume: 18.70 A^3/atom
- Symmetry: Amm2
- Total energy: -5.05 eV/atom

Cell and atoms, written as CIF:
```
data_Dy2ErGa3Si2Ni
_chemical_formula_sum 'Dy2 Er1 Ga3 Si2 Ni1'
_cell_length_a 4.139
_cell_length_b 6.849
_cell_length_c 6.849
_cell_angle_alpha 119.88
_cell_angle_beta 90.00
_cell_angle_gamma 90.00
_space_group_name_H-M_alt 'P 1'
_space_group_IT_number 1
loop_
_space_group_symop_operation_xyz
'x,y,z'
loop_
_atom_site_label
_atom_site_fract_x
_atom_site_fract_y
_atom_site_fract_z
Ga1 0.500 0.001 0.237
Ga2 0.500 0.237 0.001
Ga3 0.500 0.763 0.763
Ni1 0.000 0.002 0.002
Si1 0.500 0.665 0.334
Si2 0.500 0.334 0.665
Dy1 0.000 0.000 0.596
Dy2 0.000 0.596 0.000
Er1 0.000 0.403 0.403
```


3.
Material: Dy2ErGa3NiSn2
Method: DFT, PBE
State: relaxed

## Properties
- Volume: 21.60 A^3/atom
- Symmetry: Amm2
- Total energy: -4.65 eV/atom

Cell and atoms, written as CIF:
```
data_Dy2ErGa3NiSn2
_chemical_formula_sum 'Dy2 Er1 Ga3 Ni1 Sn2'
_cell_length_a 4.258
_cell_length_b 7.249
_cell_length_c 7.249
_cell_angle_alpha 119.71
_cell_angle_beta 90.00
_cell_angle_gamma 90.00
_space_group_name_H-M_alt 'P 1'
_space_group_IT_number 1
loop_
_space_group_symop_operation_xyz
'x,y,z'
loop_
_atom_site_label
_atom_site_fract_x
_atom_site_fract_y
_atom_site_fract_z
Ga1 0.500 0.221 0.000
Ga2 0.500 0.000 0.221
Ga3 0.500 0.781 0.781
Er1 0.000 0.376 0.376
Sn1 0.500 0.665 0.334
Sn2 0.500 0.334 0.665
Ni1 0.000 0.002 0.002
Dy1 0.000 0.621 0.000
Dy2 0.000 0.000 0.621
```